# 1
The following is a PBE calculation of a relaxed KMn2TlTc crystal, from the Alexandria database.

abc: 4.776 5.993 4.776
angles: 90.00 90.00 90.00
Site moments in Bohr magnetons follow the coordinates.
Positions (direct):
Tl  0.500  0.500  0.500  0.01
Tc  0.000  0.000  0.000  -0.86
Mn  0.500  0.000  0.000  3.74
Mn  0.000  0.000  0.500  3.42
K  0.000  0.500  0.000  -0.01

Fermi-level density of states = 0.98 states/eV/atom
Total magnetic moment = 1.345 μB per atom
Formation energy = 5.80 eV/f.u.
SG = P4/mmm (123)
Crystal system = tetragonal



# 2
The following is a PBE calculation of a relaxed K5MnTe5 crystal, from the Alexandria database.

abc: 6.785 8.594 9.364
angles: 108.55 90.00 113.25
Site moments in Bohr magnetons follow the coordinates.
Positions (direct):
Te  0.865  0.729  0.724  0.02
Te  0.135  0.271  0.276  0.02
Te  0.500  0.000  0.000  -0.32
Te  0.126  0.251  0.871  0.02
Te  0.874  0.749  0.129  0.02
K  0.000  0.000  0.500  0.01
K  0.665  0.331  0.840  0.00
K  0.699  0.397  0.306  0.00
K  0.301  0.603  0.694  0.00
K  0.335  0.669  0.160  0.00
Mn  0.000  0.000  0.000  3.60

Uncorrected formation energy = -0.598 eV per atom
Fermi-level density of states = 0.97 states/eV/atom
Total magnetic moment = 0.318 μB per atom
SG = C2/m (12)
Crystal system = monoclinic